1.
First-principles (PBE-GGA) data for a relaxed structure of Ba2DyPt2O6, as listed in Alexandria.

Unit cell a=6.2104 b=6.2104 c=6.9392 alpha=63.42 beta=63.42 gamma=60.00
Last column: nearest neighbours and their distance in Å.
Fractional positions:
O 0.7608 0.2135 0.2650  1 Pt 1.97
O 0.7865 0.2392 0.7350  1 Pt 1.97
O 0.2392 0.2392 0.7350  1 Pt 1.97
O 0.7608 0.7608 0.2650  1 Pt 1.97
O 0.2392 0.7865 0.7350  1 Pt 1.97
O 0.2135 0.7608 0.2650  1 Pt 1.97
Ba 0.7845 0.7845 0.6464  3 O 2.79
Ba 0.2155 0.2155 0.3536  3 O 2.79
Pt 0.5866 0.5866 0.2401  3 O 1.97
Pt 0.4134 0.4134 0.7599  3 O 1.97
Dy 0.0000 0.0000 0.0000  6 O 2.26

Properties
Space-group type: R-3m, No. 166
Formation energy from raw total energies (meV per atom): -1674.8
Fermi-level density of states (states/eV/f.u.): 7.2


2.
First-principles (PBE-GGA) data for a relaxed structure of KPdSe3, as listed in Alexandria.

Unit cell a=5.5913 b=5.5913 c=5.5913 alpha=90.00 beta=90.00 gamma=90.00
Last column: nearest neighbours and their distance in Å.
Fractional positions:
Pd 0.5000 0.5000 0.5000  12 Se 3.95
Se 0.5000 0.0000 0.0000  2 K 2.80
Se 0.0000 0.0000 0.5000  2 K 2.80
Se 0.0000 0.5000 0.0000  2 K 2.80
K 0.0000 0.0000 0.0000  6 Se 2.80

Properties
Space-group type: Pm-3m, No. 221
Formation energy from raw total energies (meV per atom): 1293.4
Fermi-level density of states (states/eV/f.u.): 11.3
ΔE to the lowest computed polymorph (eV per atom): 1.793


3.
First-principles (PBE-GGA) data for a relaxed structure of PaZnBrO4, as listed in Alexandria.

Unit cell a=6.6514 b=6.6514 c=7.2173 alpha=76.48 beta=76.48 gamma=57.37
Last column: nearest neighbours and their distance in Å.
Fractional positions:
O 0.4689 0.8986 0.8887  1 Zn 2.02, 1 Pa 2.17
O 0.4609 0.4609 0.7386  1 Zn 1.90, 1 Pa 1.98
O 0.7309 0.7309 0.4583  1 Br 1.87, 1 Zn 2.01
O 0.5391 0.5391 0.2614  1 Zn 1.90, 1 Pa 1.98
O 0.2691 0.2691 0.5417  1 Br 1.87, 1 Zn 2.01
O 0.1014 0.5311 0.1113  1 Zn 2.02, 1 Pa 2.17
O 0.5311 0.1014 0.1113  1 Zn 2.02, 1 Pa 2.17
O 0.8986 0.4689 0.8887  1 Zn 2.02, 1 Pa 2.17
Br 0.1055 0.1055 0.5678  1 O 1.87
Br 0.8945 0.8945 0.4322  1 O 1.87
Pa 0.7118 0.7118 0.1310  3 O 1.98-2.17
Pa 0.2882 0.2882 0.8690  3 O 1.98-2.17
Zn 0.6253 0.6253 0.7290  4 O 1.90-2.02
Zn 0.3747 0.3747 0.2710  4 O 1.90-2.02

Properties
Space-group type: C2/m, No. 12
Formation energy from raw total energies (meV per atom): -2015.4


4.
First-principles (PBE-GGA) data for a relaxed structure of ReSe3, as listed in Alexandria.

Unit cell a=2.9747 b=2.9747 c=9.4422 alpha=90.00 beta=90.00 gamma=90.00
Last column: nearest neighbours and their distance in Å.
Fractional positions:
Se 0.0000 0.0000 0.5000  4 Se 2.97
Se 0.5000 0.5000 0.8304  4 Re 2.64
Se 0.5000 0.5000 0.1696  4 Re 2.64
Re 0.0000 0.0000 0.0000  8 Se 2.64

Properties
Space-group type: P4/mmm, No. 123
Formation energy from raw total energies (meV per atom): 171.3
Fermi-level density of states (states/eV/f.u.): 2.3
ΔE to the lowest computed polymorph (eV per atom): 0.199


5.
First-principles (PBE-GGA) data for a relaxed structure of Na3NpPb2Se6, as listed in Alexandria.

Unit cell a=7.4732 b=7.4732 c=7.3270 alpha=99.90 beta=99.90 gamma=120.02
Last column: nearest neighbours and their distance in Å.
Fractional positions:
Na 0.8260 0.1740 0.5000  6 Se 3.02-3.18
Na 0.1740 0.8260 0.5000  6 Se 3.02-3.18
Na 0.5000 0.5000 0.5000  6 Se 3.00-3.30
Se 0.6160 0.9212 0.7640  1 Np 2.80, 2 Na 3.00-3.02, 2 Pb 3.07
Se 0.9212 0.6160 0.7640  1 Np 2.80, 2 Na 3.00-3.02, 2 Pb 3.07
Se 0.3840 0.0788 0.2360  1 Np 2.80, 2 Na 3.00-3.02, 2 Pb 3.07
Se 0.0788 0.3840 0.2360  1 Np 2.80, 2 Na 3.00-3.02, 2 Pb 3.07
Se 0.2245 0.2245 0.7679  1 Np 2.77, 2 Pb 3.05, 2 Na 3.08
Se 0.7755 0.7755 0.2321  1 Np 2.77, 2 Pb 3.05, 2 Na 3.08
Pb 0.6658 0.3342 0.0000  6 Se 3.05-3.07
Pb 0.3342 0.6658 0.0000  6 Se 3.05-3.07
Np 0.0000 0.0000 0.0000  6 Se 2.77-2.80

Properties
Space-group type: C2/m, No. 12
Formation energy from raw total energies (meV per atom): -935.4
Fermi-level density of states (states/eV/f.u.): 7.5


6.
First-principles (PBE-GGA) data for a relaxed structure of ReRuSeN2, as listed in Alexandria.

Unit cell a=3.8009 b=3.8009 c=5.4948 alpha=90.00 beta=90.00 gamma=90.00
Last column: nearest neighbours and their distance in Å.
Fractional positions:
N 0.0000 0.5000 0.0000  2 Re 1.90
N 0.5000 0.0000 0.0000  2 Re 1.90
Se 0.0000 0.0000 0.5000  4 Ru 2.69, 2 Re 2.75
Re 0.0000 0.0000 0.0000  4 N 1.90
Ru 0.5000 0.5000 0.5000  4 Se 2.69

Properties
Space-group type: P4/mmm, No. 123
Formation energy from raw total energies (meV per atom): 916.4
Fermi-level density of states (states/eV/f.u.): 7.3
ΔE to the lowest computed polymorph (eV per atom): 0.000


no.,E (eV/atom)
1,-6.2455
2,-2.0554
3,-6.6262
4,-5.5542
5,-4.7039
6,-7.4555